# 1
## MnCd2CoHg (GGA-PBE)

Data for a geometry-optimized MnCd2CoHg structure.

Calculated values
E_tot (eV per atom): -3.153
ΔH_f (0 K) (meV/atom): 529

a = 5.0212 Å, b = 5.0212 Å, c = 4.3996 Å
α = 90.00°, β = 90.00°, γ = 90.00°
Space group P4/mmm (No. 123)
Inequivalent atoms, fractional coordinates:
Mn: 0.0000 0.0000 0.0000 [1 per cell]
Cd: 0.0000 0.5000 0.5000 [2 per cell]
Co: 0.0000 0.0000 0.5000 [1 per cell]
Hg: 0.5000 0.5000 0.0000 [1 per cell]

# 2
## Ce2ErPa (GGA-PBE)

Data for a geometry-optimized Ce2ErPa structure.

Calculated values
E_tot (eV per atom): -6.132
ΔH_f (0 K) (meV/atom): 350

a = 7.6042 Å, b = 7.6042 Å, c = 7.6042 Å
α = 90.00°, β = 90.00°, γ = 90.00°
Space group Fm-3m (No. 225)
Inequivalent atoms, fractional coordinates:
Ce: 0.2500 0.2500 0.2500 [8 per cell]
Er: 0.0000 0.0000 0.0000 [4 per cell]
Pa: 0.0000 0.0000 0.5000 [4 per cell]

Per-record V, Å³ per atom: 22.185 27.482